1.
This record from Alexandria describes a geometry-optimized AcAl2Os2C structure. The functional is PBE-GGA.

DOS at the Fermi energy = 3.29 states/eV/f.u.
space group = P4/mmm (123)

```
AcAl2Os2C
1.0
4.193 0.000 0.000
0.000 4.193 0.000
0.000 0.000 5.864
Al C Os Ac
2 1 2 1
Direct
0.500 0.500 0.263 Al
0.500 0.500 0.737 Al
0.000 0.000 0.000 C
0.500 0.000 0.000 Os
0.000 0.500 0.000 Os
0.000 0.000 0.500 Ac
```

2.
This record from Alexandria describes a geometry-optimized AcAlOs2C structure. The functional is PBE-GGA.

DOS at the Fermi energy = 4.33 states/eV/f.u.
space group = Cmcm (63)

```
AcAlOs2C
1.0
-2.943 -3.113 0.478
3.728 0.193 4.779
-4.464 4.725 3.292
C Ac Al Os
2 2 2 4
Direct
0.000 0.000 0.000 C
0.000 0.000 0.500 C
0.446 0.892 0.750 Ac
0.554 0.108 0.250 Ac
0.727 0.453 0.750 Al
0.273 0.547 0.250 Al
0.837 0.673 0.065 Os
0.163 0.327 0.565 Os
0.163 0.327 0.935 Os
0.837 0.673 0.435 Os
```

Formation energy list, top to bottom, in eV/atom: -0.227; -0.207